An optimized crystal structure of CuAg2Ru, computed with PBEsol.

Summary:
crystal system = trigonal
E_form = 283 meV per atom
energy above the most stable polymorph in this dataset = 0 meV/atom
E_tot = -4.999 eV/atom

Cell: 9.1798 9.1798 9.1798 Å, 17.03 17.03 17.03°
Last column: nearest neighbours and their distance in Å.
Atoms (fractional coordinates):
Cu 0.0000 0.0000 0.0000  3 Ru 2.57, 3 Ag 2.71, 6 Cu 2.72
Ag 0.2521 0.2521 0.2521  3 Cu 2.71, 9 Ag 2.72-2.91
Ag 0.4953 0.4953 0.4953  9 Ag 2.72-2.91, 3 Ru 2.83
Ru 0.7418 0.7418 0.7418  3 Cu 2.57, 6 Ru 2.72, 3 Ag 2.83

An optimized crystal structure of CuAgRu2, computed with PBEsol.

Summary:
crystal system = orthorhombic
E_form = 544 meV per atom
energy above the most stable polymorph in this dataset = 157 meV/atom
E_tot = -6.453 eV/atom

Cell: 2.6196 2.6196 9.1925 Å, 90.00 90.00 117.84°
Last column: nearest neighbours and their distance in Å.
Atoms (fractional coordinates):
Cu 0.0000 0.0000 0.0000  4 Ru 2.54, 6 Cu 2.62-2.70
Ag 0.0000 0.0000 0.5000  6 Ag 2.62-2.70, 4 Ru 2.80
Ru 0.5000 0.5000 0.2339  2 Cu 2.54, 6 Ru 2.62-2.70, 2 Ag 2.80
Ru 0.5000 0.5000 0.7661  2 Cu 2.54, 6 Ru 2.62-2.70, 2 Ag 2.80

An optimized crystal structure of CuAgRuS2, computed with PBEsol.

Summary:
crystal system = tetragonal
ΔE_f (raw) = 1.416 eV/atom
E_tot = -3.902 eV/atom

Cell: 4.6437 4.6437 4.5659 Å, 90.00 90.00 90.00°
Last column: nearest neighbours and their distance in Å.
Atoms (fractional coordinates):
Cu 0.0000 0.0000 0.0000  2 Ag 2.28
Ag 0.0000 0.0000 0.5000  2 Cu 2.28, 4 S 2.32
Ru 0.5000 0.5000 0.0000  8 S 3.26, 4 Cu 3.28
S 0.0000 0.5000 0.5000  2 Ag 2.32
S 0.5000 0.0000 0.5000  2 Ag 2.32

An optimized crystal structure of CuAgS, computed with PBEsol.

Summary:
crystal system = orthorhombic
ΔE_f (raw) = -0.107 eV/atom
E_tot = -4.117 eV/atom

Cell: 7.8841 3.9387 6.5348 Å, 90.00 90.00 90.00°
Last column: nearest neighbours and their distance in Å.
Atoms (fractional coordinates):
Cu 0.2387 0.2500 0.1971  3 S 2.23-2.28
Cu 0.2613 0.7500 0.6971  3 S 2.23-2.28
Cu 0.7387 0.2500 0.3029  3 S 2.23-2.28
Cu 0.7613 0.7500 0.8029  3 S 2.23-2.28
Ag 0.0178 0.2500 0.8343  2 S 2.46-2.48
Ag 0.4822 0.7500 0.3343  2 S 2.46-2.48
Ag 0.5178 0.2500 0.6657  2 S 2.46-2.48
Ag 0.9822 0.7500 0.1657  2 S 2.46-2.48
S 0.2214 0.2500 0.5458  3 Cu 2.23-2.28, 2 Ag 2.46-2.48
S 0.2786 0.7500 0.0458  3 Cu 2.23-2.28, 2 Ag 2.46-2.48
S 0.7214 0.2500 0.9542  3 Cu 2.23-2.28, 2 Ag 2.46-2.48
S 0.7786 0.7500 0.4542  3 Cu 2.23-2.28, 2 Ag 2.46-2.48